No. 1
8
Lattice="4.784 -0.194 0.000 -2.076 6.553 0.000 0.000 0.000 11.033" Properties=species:S:1:pos:R:3 comment="PBE Cs2SbPt, relaxed" vol_a3_per_cell=341 e_form_raw_ev_per_atom=-0.370 space_group="P2_1/m, No. 11" density_g_cm3=5.7 energy_ev_per_cell=-26.70 magmom_total_mub_per_atom=0.00 pbc="T T T"
Pt 0.067 2.008 8.275
Pt 2.641 4.351 2.758
Cs 0.100 1.744 4.647
Cs 2.608 4.615 10.163
Cs 0.100 1.744 0.870
Cs 2.608 4.615 6.386
Sb 2.423 1.022 8.275
Sb 0.285 5.337 2.758


No. 2
18
Lattice="5.659 0.000 0.000 -2.829 10.692 0.000 0.000 0.000 9.625" Properties=species:S:1:pos:R:3 comment="PBE TbHo5Tm2Th, relaxed" vol_a3_per_cell=582 formation_enthalpy_0k_mev_per_atom=165 space_group="Cmc2_1, No. 36" density_g_cm3=8.9 energy_ev_per_cell=-84.79 magmom_total_mub_per_atom=0.00 pbc="T T T"
Tb 2.829 6.638 4.987
Tb 0.000 4.054 0.174
Ho 0.000 10.014 7.142
Ho 2.829 4.183 2.082
Ho 0.000 5.815 3.109
Ho 2.829 10.392 4.995
Ho 0.000 6.509 6.895
Ho 2.829 4.877 7.921
Ho 2.829 2.173 5.213
Ho 0.000 0.300 0.183
Ho 0.000 8.519 0.401
Ho 2.829 0.678 2.329
Th 2.829 2.011 8.869
Th 0.000 8.681 4.056
Tm 0.000 2.760 6.852
Tm 2.829 8.212 7.996
Tm 2.829 7.932 2.039
Tm 0.000 2.479 3.183


No. 3
6
Lattice="1.628 -8.527 0.000 1.628 8.527 0.000 0.000 0.000 5.387" Properties=species:S:1:pos:R:3 comment="PBE YMg5, relaxed" vol_a3_per_cell=150 formation_enthalpy_0k_mev_per_atom=-4 space_group="Amm2, No. 38" density_g_cm3=2.3 energy_ev_per_cell=-14.46 magmom_total_mub_per_atom=0.00 pbc="T T T"
Mg 1.628 -2.797 2.694
Mg 1.628 -8.499 2.694
Mg 1.628 0.879 0.000
Mg 1.628 2.803 2.694
Mg 1.628 6.698 0.000
Y 1.628 -4.769 0.000


No. 4
10
Lattice="-0.439 3.513 -0.326 -3.100 -0.227 1.725 9.720 2.872 17.848" Properties=species:S:1:pos:R:3 comment="PBE Mg2Tl3, relaxed" vol_a3_per_cell=259 formation_enthalpy_0k_mev_per_atom=-15 space_group="P4/mmm, No. 123" density_g_cm3=8.5 energy_ev_per_cell=-20.72 magmom_total_mub_per_atom=0.00 pbc="T T T"
Tl 3.016 0.891 5.538
Tl 8.543 2.525 15.687
Tl 4.860 1.436 8.924
Tl 1.177 0.348 2.161
Tl -1.770 1.643 0.699
Tl 6.704 1.981 12.310
Mg 2.170 2.807 7.934
Mg 4.011 3.351 11.313
Mg 5.850 3.895 14.691
Mg 0.331 2.264 4.556


No. 5
5
Lattice="-1.721 3.120 0.419 -2.324 -1.581 2.230 2.124 0.798 2.779" Properties=species:S:1:pos:R:3 comment="PBE PAuN3, relaxed" vol_a3_per_cell=46 e_form_raw_ev_per_atom=1.477 space_group="Pm-3m, No. 221" density_g_cm3=9.7 energy_ev_per_cell=-26.28 magmom_total_mub_per_atom=0.00 pbc="T T T"
Au -0.960 1.169 2.714
N -1.162 -0.791 1.115
N 1.062 0.399 1.390
N -0.860 1.560 0.210
P 0.000 0.000 0.000


No. 6
5
Lattice="-2.930 -0.982 4.118 4.175 0.161 3.009 -0.713 5.123 0.715" Properties=species:S:1:pos:R:3 comment="PBE InPS2N, relaxed" vol_a3_per_cell=138 e_form_raw_ev_per_atom=1.832 space_group="P4/mmm, No. 123" density_g_cm3=2.7 energy_ev_per_cell=-15.57 magmom_total_mub_per_atom=0.63 pbc="T T T"
P -0.356 2.561 0.357
S 2.088 0.080 1.504
S -1.465 -0.491 2.059
In 0.000 0.000 0.000
N 0.266 2.151 3.921